An optimized crystal structure of Co2ReSi. Source: Alexandria via LeMat-Bulk, functional PBE.

Computed properties:
Formation energy from raw total energies, eV/atom: -0.097
SG: R-3m
N(E_F), states/eV/f.u.: 4.4

Cell: 8.0394 8.0394 8.0394 Å, 19.04 19.04 19.04°
Fractional positions:
Co 0.2437 0.2437 0.2437
Co 0.7563 0.7563 0.7563
Re 0.0000 0.0000 0.0000
Si 0.5000 0.5000 0.5000